Here is an optimized crystal structure of HRuSe2Br from Alexandria via LeMat-Bulk. Energies are from GGA-PBE.

```
5
Lattice="3.8812 0.0000 0.0000 0.0000 3.8812 0.0000 0.0000 0.0000 6.6746" Properties=species:S:1:pos:R:3 pbc="T T T"
H 0.0000 0.0000 0.0000
Ru 1.9406 1.9406 3.3373
Se 0.0000 1.9406 0.0000
Se 1.9406 0.0000 0.0000
Br 0.0000 0.0000 3.3373
```

Computed properties:
- V: 20.11 Å³ per atom
- Total magnetic moment: 2.863 μB/cell

Here is an optimized crystal structure of Sm8HRu3Br4 from Alexandria via LeMat-Bulk. Energies are from GGA-PBE.

```
16
Lattice="6.8807 -3.9615 0.0000 6.8807 3.9615 0.0000 -4.6016 0.0000 7.8270" Properties=species:S:1:pos:R:3 pbc="T T T"
Sm -0.0072 0.0000 5.4286
Sm 3.4331 1.9828 5.4231
Sm 2.2897 0.0000 2.3248
Sm 5.7267 1.9828 2.4039
Sm 3.4331 -1.9828 5.4231
Sm 6.8702 0.0000 5.5023
Sm 5.7267 -1.9828 2.4039
Sm 9.1670 0.0000 2.3984
H -2.3008 0.0000 3.9135
Ru 1.1396 1.9808 3.9135
Ru 1.1396 -1.9808 3.9135
Ru 4.5799 0.0000 3.9135
Br 0.0000 0.0000 0.0000
Br 3.4404 1.9808 0.0000
Br 3.4404 -1.9808 0.0000
Br 6.8807 0.0000 0.0000
```

Computed properties:
- V: 26.67 Å³ per atom
- Total magnetic moment: 0.000 μB/cell

Here is an optimized crystal structure of Sm6HRu2Br3 from Alexandria via LeMat-Bulk. Energies are from GGA-PBE.

```
12
Lattice="3.4249 -5.9331 0.0000 3.4249 5.9331 0.0000 -2.2964 0.0000 7.7973" Properties=species:S:1:pos:R:3 pbc="T T T"
Sm 1.1372 1.9732 1.5169
Sm -0.0188 0.0000 6.2851
Sm 1.1372 -1.9732 1.5169
Sm 3.4162 1.9732 6.2804
Sm 4.5722 0.0000 1.5123
Sm 3.4162 -1.9732 6.2804
H 0.0000 0.0000 0.0000
Ru 3.4249 1.9771 0.0000
Ru 3.4249 -1.9771 0.0000
Br 2.2767 3.9212 3.8987
Br 2.2767 0.0000 3.8987
Br 2.2767 -3.9212 3.8987
```

Computed properties:
- V: 26.41 Å³ per atom
- Total magnetic moment: 0.000 μB/cell

Here is an optimized crystal structure of TlH2RuBr8 from Alexandria via LeMat-Bulk. Energies are from GGA-PBE.

```
12
Lattice="7.0088 0.0000 0.0000 3.1245 7.0465 0.0000 0.0087 3.2682 7.2635" Properties=species:S:1:pos:R:3 pbc="T T T"
Tl 0.0000 0.0000 0.0000
H 1.8627 5.9584 5.5119
H 8.2794 4.3564 1.7516
Ru 0.0043 1.6341 3.6317
Br 1.9451 3.0919 2.9987
Br 2.4221 4.9289 6.5795
Br 4.2670 6.7152 2.5686
Br 4.2851 8.1820 5.7978
Br 5.8569 2.1327 1.4657
Br 5.8750 3.5995 4.6949
Br 7.7199 5.3858 0.6840
Br 8.1969 7.2228 4.2648
```

Computed properties:
- V: 29.89 Å³ per atom
- Total magnetic moment: 1.007 μB/cell

Here is an optimized crystal structure of ZrHRu2Br from Alexandria via LeMat-Bulk. Energies are from GGA-PBE.

```
5
Lattice="4.0285 0.0000 0.0000 0.0000 4.0285 0.0000 0.0000 0.0000 4.3745" Properties=species:S:1:pos:R:3 pbc="T T T"
Zr 0.0000 0.0000 0.0000
H 0.0000 0.0000 2.1872
Ru 0.0000 2.0143 2.1872
Ru 2.0143 0.0000 2.1872
Br 2.0143 2.0143 0.0000
```

Computed properties:
- V: 14.20 Å³ per atom
- Total magnetic moment: 0.930 μB/cell

Here is an optimized crystal structure of HS2Br from Alexandria via LeMat-Bulk. Energies are from GGA-PBE.

```
4
Lattice="1.4050 0.8112 11.0015 -1.4050 0.8112 11.0015 0.0000 -1.6223 11.0015" Properties=species:S:1:pos:R:3 pbc="T T T"
H 0.0000 0.0000 0.0000
S 0.0000 0.0000 1.6596
S 0.0000 0.0000 31.3448
Br 0.0000 0.0000 16.5022
```

Computed properties:
- V: 18.81 Å³ per atom
- Total magnetic moment: 0.000 μB/cell

no.,electronic total energy (eV/f.u.)
1,-16.86
2,-88.34
3,-65.01
4,-35.60
5,-30.41
6,-10.97